1.
This record from the Alexandria database describes crystalline CaSm4Se5 at its relaxed geometry. The functional is PBE.

Summary:
formation energy (no corrections)	-1.847	eV/atom
E	-5.677	eV/atom
volume	257.3	Å³/cell
N(E_F)	4.69	states/eV/f.u.
energy above the most stable polymorph in this dataset	6.8	meV/atom
spin magnetization	0.0	μB per formula unit

Unit cell a=5.9068 b=7.2311 c=7.2311 alpha=80.40 beta=65.89 gamma=65.89
Fractional coordinates of all 10 atoms:
Sm  0.4012  0.4010  0.7985
Se  0.2973  0.8022  0.6050
Se  0.0995  0.6050  0.1978
Se  0.7045  0.1978  0.3950
Se  0.5014  0.0000  0.0000
Sm  0.6007  0.5990  0.2015
Sm  0.1997  0.2015  0.4010
Sm  0.8022  0.7985  0.5990
Se  0.9023  0.3950  0.8022
Ca  0.0015  0.0000  0.0000



2.
This record from the Alexandria database describes crystalline Ca2Sm3Se6 at its relaxed geometry. The functional is PBE.

Summary:
formation energy (no corrections)	-1.928	eV/atom
E	-5.480	eV/atom
volume	312.1	Å³/cell
N(E_F)	3.69	states/eV/f.u.
spin magnetization	0.0	μB per formula unit

Unit cell a=7.2364 b=7.2316 c=7.2939 alpha=80.54 beta=70.82 gamma=59.98
Fractional coordinates of all 11 atoms:
Se  0.9222  0.6632  0.2452
Se  0.5854  0.3368  0.2452
Se  0.2478  0.0000  0.2486
Se  0.7522  0.0000  0.7514
Ca  0.1675  0.6650  0.5000
Se  0.0778  0.3368  0.7548
Sm  0.3357  0.3286  0.0000
Sm  0.6643  0.6714  0.0000
Sm  0.0000  0.0000  0.0000
Ca  0.8325  0.3350  0.5000
Se  0.4146  0.6632  0.7548



3.
This record from the Alexandria database describes crystalline SrCa2SmSe4 at its relaxed geometry. The functional is PBE.

Summary:
formation energy (no corrections)	-1.952	eV/atom
E	-4.995	eV/atom
volume	217.6	Å³/cell
N(E_F)	2.64	states/eV/f.u.
spin magnetization	0.0	μB per formula unit

Unit cell a=4.2402 b=7.3575 c=7.3928 alpha=70.66 beta=90.00 gamma=90.00
Fractional coordinates of all 8 atoms:
Se  0.5000  0.7537  0.2554
Sm  0.0000  0.5000  0.5000
Sr  0.5000  0.5000  0.0000
Se  0.0000  0.7579  0.7394
Se  0.5000  0.2463  0.7446
Ca  0.0000  0.0000  0.0000
Se  0.0000  0.2421  0.2606
Ca  0.5000  0.0000  0.5000



4.
This record from the Alexandria database describes crystalline CaTb3Sm2Se6 at its relaxed geometry. The functional is PBE.

Summary:
formation energy (no corrections)	-1.829	eV/atom
E	-5.682	eV/atom
volume	300.4	Å³/cell
N(E_F)	5.16	states/eV/f.u.
spin magnetization	0.0	μB per formula unit

Unit cell a=4.1176 b=8.3162 c=9.2512 alpha=103.06 beta=102.86 gamma=90.00
Fractional coordinates of all 12 atoms:
Se  0.3342  0.9225  0.6683
Sm  0.8290  0.6587  0.6580
Se  0.6627  0.5868  0.3255
Tb  0.5000  0.5000  0.0000
Se  0.3373  0.4132  0.6745
Tb  0.1688  0.8289  0.3377
Se  0.6658  0.0775  0.3317
Sm  0.1710  0.3413  0.3420
Tb  0.8312  0.1711  0.6623
Se  0.0007  0.7495  0.0014
Ca  0.5000  0.0000  0.0000
Se  0.9993  0.2505  0.9986



- Among the records above, which one has the lowest formation energy (no corrections)?
  SrCa2SmSe4



- What is the formula in the first record?
  CaSm4Se5